No. 1
Density functional theory data (PBE) for an optimized crystal structure of ZrCdAg.

Values from the calculation:
Symmetry ... No. 156

Cell: 3.0386 3.0386 7.7279 Å, 90.00 90.00 120.00°
Last column: nearest neighbours and their distance in Å.
Positions (direct):
Ag (0.0000, 0.0000, 0.0024)  6 Ag 3.04, 3 Cd 3.05, 3 Zr 3.09
Cd (0.6667, 0.3333, 0.3246)  6 Cd 3.04, 3 Ag 3.05, 3 Zr 3.21
Zr (0.3333, 0.6667, 0.6730)  6 Zr 3.04, 3 Ag 3.09, 3 Cd 3.21

No. 2
Density functional theory data (PBE) for an optimized crystal structure of SrPmInCl6.

Values from the calculation:
Uncorrected formation energy ... -2.024 eV/atom
Symmetry ... No. 163

Cell: 7.4573 7.4573 13.3566 Å, 90.00 90.00 120.00°
Last column: nearest neighbours and their distance in Å.
Positions (direct):
Sr (0.3333, 0.6667, 0.2500)  6 Cl 2.92
Sr (0.6667, 0.3333, 0.7500)  6 Cl 2.92
Pm (0.6667, 0.3333, 0.2500)  6 Cl 2.74
Pm (0.3333, 0.6667, 0.7500)  6 Cl 2.74
In (0.0000, 0.0000, 0.0000)  6 Cl 3.27
In (0.0000, 0.0000, 0.5000)  6 Cl 3.27
Cl (0.6436, 0.6255, 0.1354)  1 Pm 2.74, 1 Sr 2.92
Cl (0.9819, 0.3564, 0.1354)  1 Pm 2.74, 1 Sr 2.92
Cl (0.3564, 0.9819, 0.6354)  1 Pm 2.74, 1 Sr 2.92
Cl (0.0181, 0.6436, 0.8646)  1 Pm 2.74, 1 Sr 2.92
Cl (0.3745, 0.3564, 0.3646)  1 Pm 2.74, 1 Sr 2.92
Cl (0.9819, 0.6255, 0.3646)  1 Pm 2.74, 1 Sr 2.92
Cl (0.6255, 0.9819, 0.8646)  1 Pm 2.74, 1 Sr 2.92
Cl (0.6436, 0.0181, 0.3646)  1 Pm 2.74, 1 Sr 2.92
Cl (0.0181, 0.3745, 0.6354)  1 Pm 2.74, 1 Sr 2.92
Cl (0.3745, 0.0181, 0.1354)  1 Pm 2.74, 1 Sr 2.92
Cl (0.6255, 0.6436, 0.6354)  1 Pm 2.74, 1 Sr 2.92
Cl (0.3564, 0.3745, 0.8646)  1 Pm 2.74, 1 Sr 2.92

No. 3
Density functional theory data (PBE) for an optimized crystal structure of EuErTc4.

Values from the calculation:
Symmetry ... No. 216

Cell: 5.4182 5.4182 5.4182 Å, 60.00 60.00 60.00°
Last column: nearest neighbours and their distance in Å.
Positions (direct):
Eu (0.0000, 0.0000, 0.0000)  12 Tc 3.18, 4 Er 3.32
Tc (0.6248, 0.6248, 0.1255)  6 Tc 2.71
Tc (0.6248, 0.1255, 0.6248)  6 Tc 2.71
Tc (0.6248, 0.6248, 0.6248)  6 Tc 2.71
Tc (0.1255, 0.6248, 0.6248)  6 Tc 2.71
Er (0.2500, 0.2500, 0.2500)  12 Tc 3.18, 4 Eu 3.32

No. 4
Density functional theory data (PBE) for an optimized crystal structure of InAg2Te.

Values from the calculation:
Uncorrected formation energy ... 0.168 eV/atom
Symmetry ... No. 216
Energy relative to the lowest polymorph listed for this composition ... 3.694 kcal/mol of atoms

Cell: 5.1506 5.1506 5.1506 Å, 60.00 60.00 60.00°
Last column: nearest neighbours and their distance in Å.
Positions (direct):
Te (0.7500, 0.7500, 0.7500)  4 In 3.15, 4 Ag 3.15
Ag (0.0000, 0.0000, 0.0000)  4 Te 3.15, 4 Ag 3.15
Ag (0.2500, 0.2500, 0.2500)  4 In 3.15, 4 Ag 3.15
In (0.5000, 0.5000, 0.5000)  4 Ag 3.15, 4 Te 3.15

No. 5
Density functional theory data (PBE) for an optimized crystal structure of CePm2PuN4.

Values from the calculation:
Uncorrected formation energy ... -1.415 eV/atom
Symmetry ... No. 10

Cell: 3.5630 6.1714 6.1790 Å, 109.70 90.00 90.00°
Last column: nearest neighbours and their distance in Å.
Positions (direct):
Ce (0.5000, 0.5000, 0.0000)  6 N 2.48-2.50
Pm (0.5000, 0.0000, 0.5000)  6 N 2.56
Pm (0.0000, 0.5000, 0.5000)  6 N 2.58-2.60
Pu (0.0000, 0.0000, 0.0000)  6 N 2.44-2.47
N (0.5000, 0.2368, 0.2309)  2 Pu 2.44, 1 Ce 2.50, 3 Pm 2.56-2.60
N (0.5000, 0.7632, 0.7691)  2 Pu 2.44, 1 Ce 2.50, 3 Pm 2.56-2.60
N (0.0000, 0.2527, 0.7635)  1 Pu 2.47, 2 Ce 2.48, 3 Pm 2.56-2.58
N (0.0000, 0.7473, 0.2365)  1 Pu 2.47, 2 Ce 2.48, 3 Pm 2.56-2.58

No. 6
Density functional theory data (PBE) for an optimized crystal structure of Ca2PmNpN4.

Values from the calculation:
Uncorrected formation energy ... -1.224 eV/atom
Symmetry ... No. 10

Cell: 3.5442 6.1000 6.0560 Å, 109.28 90.00 90.00°
Last column: nearest neighbours and their distance in Å.
Positions (direct):
Ca (0.5000, 0.0000, 0.5000)  6 N 2.50-2.54
Ca (0.0000, 0.5000, 0.5000)  6 N 2.62-2.79
Pm (0.5000, 0.5000, 0.0000)  6 N 2.47-2.49
Np (0.0000, 0.0000, 0.0000)  6 N 2.17-2.38
N (0.5000, 0.2280, 0.2240)  2 Np 2.38, 1 Pm 2.47, 3 Ca 2.50-2.62
N (0.5000, 0.7720, 0.7760)  2 Np 2.38, 1 Pm 2.47, 3 Ca 2.50-2.62
N (0.0000, 0.2238, 0.7865)  1 Np 2.17
N (0.0000, 0.7762, 0.2135)  1 Np 2.17

No. 7
Density functional theory data (PBE) for an optimized crystal structure of CdGaN2.

Values from the calculation:
Uncorrected formation energy ... 1.329 eV/atom
Symmetry ... No. 225
Energy relative to the lowest polymorph listed for this composition ... 23.026 kcal/mol of atoms

Cell: 4.0671 4.0671 4.0671 Å, 60.00 60.00 60.00°
Last column: nearest neighbours and their distance in Å.
Positions (direct):
N (0.2500, 0.2500, 0.2500)  4 Cd 2.49, 4 Ga 2.49
N (0.7500, 0.7500, 0.7500)  4 Cd 2.49, 4 Ga 2.49
Ga (0.0000, 0.0000, 0.0000)  8 N 2.49
Cd (0.5000, 0.5000, 0.5000)  8 N 2.49

No. 8
Density functional theory data (PBE) for an optimized crystal structure of SbRh2W.

Values from the calculation:
Uncorrected formation energy ... 0.578 eV/atom
Symmetry ... No. 122

Cell: 5.6124 5.6124 7.2126 Å, 67.10 67.10 90.00°
Last column: nearest neighbours and their distance in Å.
Positions (direct):
Sb (0.5000, 0.5000, 0.0000)  4 Rh 2.57
Sb (0.2500, 0.7500, 0.5000)  4 Rh 2.57
Rh (0.6485, 0.1250, 0.2500)  2 W 2.42, 2 Sb 2.57
Rh (0.1015, 0.6250, 0.2500)  2 W 2.42, 2 Sb 2.57
Rh (0.3750, 0.3515, 0.7500)  2 W 2.42, 2 Sb 2.57
Rh (0.8750, 0.8985, 0.7500)  2 W 2.42, 2 Sb 2.57
W (0.0000, 0.0000, 0.0000)  4 Rh 2.42
W (0.7500, 0.2500, 0.5000)  4 Rh 2.42

Number 1: E_tot -4.085 eV/atom. Number 2: E_tot -4.274 eV/atom. Number 3: E_tot -9.346 eV/atom. Number 4: E_tot -2.727 eV/atom. Number 5: E_tot -9.298 eV/atom. Number 6: E_tot -8.098 eV/atom. Number 7: E_tot -3.819 eV/atom. Number 8: E_tot -7.366 eV/atom.